Crystalline Li2USiO6 at its relaxed geometry. Source: Alexandria, functional PBE.

```
Li2USiO6
1.0
4.3028 0.0000 0.0000
0.0000 5.3328 0.0000
0.0000 0.0000 5.3328
Li U Si O
2 1 1 6
direct
0.9846 0.5000 0.0000
0.9846 0.0000 0.5000
0.6528 0.5000 0.5000
0.5986 0.0000 0.0000
0.7088 0.2296 0.2296
0.7088 0.2296 0.7704
0.1657 0.5000 0.5000
0.2255 0.0000 0.0000
0.7088 0.7704 0.7704
0.7088 0.7704 0.2296
```

As for the energy relative to the elements, uncorrected: -2.47 eV/atom.

---

Crystalline CaReN3 at its relaxed geometry. Source: Alexandria, functional PBE.

```
CaReN3
1.0
-4.1011 -3.5402 -1.0904
5.3919 -1.8649 2.2590
-2.5227 -2.9564 4.3329
Re Ca N
2 2 6
direct
0.5470 0.3497 0.8119
0.5471 0.9585 0.3291
0.0355 0.6809 0.0913
0.0589 0.1925 0.5793
0.0961 0.6121 0.4747
0.5472 0.6678 0.7965
0.5470 0.1054 0.5996
0.9986 0.0638 0.0236
0.5480 0.6555 0.5724
0.5471 0.2134 0.1140
```

As for the energy relative to the elements, uncorrected: -0.36 eV/atom.

---

Crystalline Tl2IrOs at its relaxed geometry. Source: Alexandria, functional PBE.

```
Tl2IrOs
1.0
-2.1282 -0.8793 -1.7972
1.8874 -1.7530 -1.3773
-2.3044 -7.5136 6.4052
Ir Os Tl
1 1 2
direct
0.0000 0.0000 0.5483
0.5000 0.5000 0.7045
0.0000 0.0000 0.9441
0.5000 0.5000 0.3031
```

The energy above the lowest structure with this stoichiometry comes out at 0.04 eV/f.u. The calculated formation energy comes out at 0.52 eV per atom.

---

| no. | total moment (μB/f.u.) |
| --- | --- |
| 1 | 0.00 |
| 2 | 0.00 |
| 3 | 0.00 |